(1)
# PaSBr2, relaxed, DFT PBE
# - Formation energy without anion corrections: -1.426 eV/atom
data_PaSBr2
_space_group_name_H-M_alt 'C 1 m 1'
_space_group_IT_number 8
_cell_length_a 9.548
_cell_length_b 3.709
_cell_length_c 8.234
_cell_angle_alpha 90.00
_cell_angle_beta 109.05
_cell_angle_gamma 90.00
loop_
_space_group_symop_operation_xyz
'x,y,z'
'x,-y,z'
'x+1/2,y+1/2,z'
'x+1/2,-y+1/2,z'
loop_
_atom_site_label
_atom_site_fract_x
_atom_site_fract_y
_atom_site_fract_z
Pa1 0.000 0.000 0.000
S1 0.207 0.500 0.000
Br1 0.013 0.500 0.279
Br2 0.356 0.000 0.721

***

(2)
# PaS6Br2, relaxed, DFT PBE
# - Formation energy without anion corrections: -0.642 eV/atom
data_PaS6Br2
_space_group_name_H-M_alt 'P -1'
_space_group_IT_number 2
_cell_length_a 5.787
_cell_length_b 7.216
_cell_length_c 7.835
_cell_angle_alpha 95.71
_cell_angle_beta 105.43
_cell_angle_gamma 95.16
loop_
_space_group_symop_operation_xyz
'x,y,z'
'-x,-y,-z'
loop_
_atom_site_label
_atom_site_fract_x
_atom_site_fract_y
_atom_site_fract_z
Pa1 0.000 0.000 0.000
S1 0.234 0.300 0.243
S2 0.319 0.759 0.937
S3 0.500 0.140 0.233
Br1 0.033 0.202 0.732

***

(3)
# Pa2SBr, relaxed, DFT PBE
# - Formation energy without anion corrections: -0.989 eV/atom
data_Pa2SBr
_space_group_name_H-M_alt 'R -3 m'
_space_group_IT_number 166
_space_group_name_Hall '-R 3 2"'
_cell_length_a 3.5474
_cell_length_b 3.5474
_cell_length_c 25.0468
_cell_angle_alpha 90.00
_cell_angle_beta 90.00
_cell_angle_gamma 120.00
loop_
_atom_site_label
_atom_site_fract_x
_atom_site_fract_y
_atom_site_fract_z
Pa1 0.0000 0.0000 0.2384
S1 0.0000 0.0000 0.5000
Br1 0.0000 0.0000 0.0000

***

(4)
# Pa2S4Br, relaxed, DFT PBE
# - Formation energy without anion corrections: -1.533 eV/atom
data_Pa2S4Br
_space_group_name_H-M_alt 'I m a 2'
_space_group_IT_number 46
_cell_length_a 7.905
_cell_length_b 13.352
_cell_length_c 6.949
_cell_angle_alpha 90.00
_cell_angle_beta 90.00
_cell_angle_gamma 90.00
loop_
_space_group_symop_operation_xyz
'x,y,z'
'-x,-y,z'
'-x+1/2,y,z'
'x+1/2,-y,z'
'x+1/2,y+1/2,z+1/2'
'-x+1/2,-y+1/2,z+1/2'
'-x,y+1/2,z+1/2'
'x,-y+1/2,z+1/2'
loop_
_atom_site_label
_atom_site_fract_x
_atom_site_fract_y
_atom_site_fract_z
Pa1 0.000 0.000 0.000
Pa2 0.250 0.196 0.588
S1 0.024 0.199 0.870
S2 0.250 0.001 0.728
S3 0.250 0.107 0.227
Br1 0.250 0.624 0.707

***

(5)
# PaSbS4Br, relaxed, DFT PBE
# - Formation energy without anion corrections: -0.845 eV/atom
data_PaSbS4Br
_space_group_name_H-M_alt 'C 1 2/m 1'
_space_group_IT_number 12
_cell_length_a 18.039
_cell_length_b 8.940
_cell_length_c 7.364
_cell_angle_alpha 90.00
_cell_angle_beta 111.98
_cell_angle_gamma 90.00
loop_
_space_group_symop_operation_xyz
'x,y,z'
'-x,-y,-z'
'-x,y,-z'
'x,-y,z'
'x+1/2,y+1/2,z'
'-x+1/2,-y+1/2,-z'
'-x+1/2,y+1/2,-z'
'x+1/2,-y+1/2,z'
loop_
_atom_site_label
_atom_site_fract_x
_atom_site_fract_y
_atom_site_fract_z
Pa1 0.227 0.000 0.100
Sb1 0.205 0.500 0.375
S1 0.134 0.500 0.604
S2 0.164 0.000 0.373
S3 0.218 0.312 0.119
Br1 0.077 0.000 0.832

***

(6)
# PaSbBr3, relaxed, DFT PBE
# - Formation energy without anion corrections: -0.978 eV/atom
data_PaSbBr3
_space_group_name_H-M_alt 'P 1 2/c 1'
_space_group_IT_number 13
_cell_length_a 7.729
_cell_length_b 8.087
_cell_length_c 14.137
_cell_angle_alpha 90.00
_cell_angle_beta 92.52
_cell_angle_gamma 90.00
loop_
_space_group_symop_operation_xyz
'x,y,z'
'-x,-y,-z'
'-x,y,-z+1/2'
'x,-y,z+1/2'
loop_
_atom_site_label
_atom_site_fract_x
_atom_site_fract_y
_atom_site_fract_z
Pa1 0.074 0.124 0.140
Sb1 0.162 0.412 0.292
Br1 0.130 0.187 0.532
Br2 0.224 0.065 0.793
Br3 0.360 0.251 0.067

***

(7)
# PaSbBr, relaxed, DFT PBE
# - Formation energy without anion corrections: -0.663 eV/atom
# - E above lowest polymorph: 0 meV/atom
data_PaSbBr
_space_group_name_H-M_alt 'P 4/n m m'
_space_group_IT_number 129
_cell_length_a 4.433
_cell_length_b 4.433
_cell_length_c 8.325
_cell_angle_alpha 90.00
_cell_angle_beta 90.00
_cell_angle_gamma 90.00
loop_
_space_group_symop_operation_xyz
'x,y,z'
'-x,-y,-z'
'-y+1/2,x,z'
'y+1/2,-x,-z'
'-x+1/2,-y+1/2,z'
'x+1/2,y+1/2,-z'
'y,-x+1/2,z'
'-y,x+1/2,-z'
'x+1/2,-y,-z'
'-x+1/2,y,z'
'-y,-x,-z'
'y,x,z'
'-x,y+1/2,-z'
'x,-y+1/2,z'
'y+1/2,x+1/2,-z'
'-y+1/2,-x+1/2,z'
loop_
_atom_site_label
_atom_site_fract_x
_atom_site_fract_y
_atom_site_fract_z
Pa1 0.250 0.250 0.235
Sb1 0.250 0.250 0.858
Br1 0.250 0.750 0.500

***

(8)
# PaSbBr, relaxed, DFT PBE
# - Formation energy without anion corrections: -0.495 eV/atom
# - E above lowest polymorph: 168 meV/atom
data_PaSbBr
_space_group_name_H-M_alt 'P -6 m 2'
_space_group_IT_number 187
_space_group_name_Hall 'P -6 2'
_cell_length_a 5.0657
_cell_length_b 5.0657
_cell_length_c 3.6067
_cell_angle_alpha 90.00
_cell_angle_beta 90.00
_cell_angle_gamma 120.00
loop_
_atom_site_label
_atom_site_fract_x
_atom_site_fract_y
_atom_site_fract_z
Pa1 0.0000 0.0000 0.0000
Sb1 0.6667 0.3333 0.5000
Br1 0.3333 0.6667 0.0000